No. 1
Computed, not measured: crystalline SmAgSb at its relaxed geometry at the GGA-PBE level of DFT.

abc: 4.171 4.621 4.621
angles: 120.00 90.00 90.00
Fractional coordinates of all 3 atoms:
Sb1 0.204 0.333 0.667
Ag1 0.119 0.000 0.000
Sm1 0.677 0.667 0.333

Its mass density is 8181 kg/m3. For the raw formation energy, the calculation gives -625 meV per atom.

---

No. 2
Computed, not measured: crystalline MnCoIr2 at its relaxed geometry at the GGA-PBE level of DFT.

abc: 4.496 4.496 2.696
angles: 90.00 90.00 106.90
Fractional coordinates of all 4 atoms:
Ir1 0.000 0.000 0.000
Co1 0.000 0.500 0.500
Mn1 0.500 0.000 0.500
Ir2 0.500 0.500 0.000

Its mass density is 15868 kg/m3.

---

No. 3
Computed, not measured: crystalline BiI3 at its relaxed geometry at the GGA-PBE level of DFT.

abc: 12.860 4.119 7.914
angles: 74.88 90.00 90.00
Fractional coordinates of all 8 atoms:
Bi1 0.250 0.299 0.907
Bi2 0.750 0.701 0.093
I1 0.909 0.124 0.249
I2 0.750 0.358 0.783
I3 0.250 0.642 0.217
I4 0.591 0.124 0.249
I5 0.091 0.876 0.751
I6 0.409 0.876 0.751

Its mass density is 4839 kg/m3. For the raw formation energy, the calculation gives -381 meV per atom.

---

No. 4
Computed, not measured: crystalline K2NaF at its relaxed geometry at the GGA-PBE level of DFT.

abc: 3.555 3.555 10.079
angles: 90.00 90.00 90.00
Fractional coordinates of all 4 atoms:
Na1 0.500 0.500 0.500
K1 0.000 0.000 0.840
K2 0.000 0.000 0.160
F1 0.500 0.500 0.000

Its mass density is 1566 kg/m3. For the relative energy among the computed polymorphs, the calculation gives 0.095 eV per atom. For the raw formation energy, the calculation gives -1195 meV per atom.

---

No. 5
Computed, not measured: crystalline Nd3BiAsN at its relaxed geometry at the GGA-PBE level of DFT.

abc: 4.282 9.129 9.617
angles: 101.63 90.00 90.00
Fractional coordinates of all 12 atoms:
Nd1 0.750 0.420 0.150
Nd2 0.250 0.580 0.850
Nd3 0.750 0.886 0.165
Nd4 0.250 0.843 0.485
Bi1 0.750 0.822 0.783
As1 0.250 0.650 0.158
As2 0.750 0.350 0.842
Bi2 0.250 0.178 0.217
N1 0.750 0.911 0.401
Nd5 0.250 0.114 0.835
Nd6 0.750 0.157 0.515
N2 0.250 0.089 0.599

Its mass density is 6590 kg/m3. For the raw formation energy, the calculation gives -1177 meV per atom.

---

No. 6
Computed, not measured: crystalline Y2In3 at its relaxed geometry at the GGA-PBE level of DFT.

abc: 6.651 8.193 9.746
angles: 90.00 90.00 90.00
Fractional coordinates of all 20 atoms:
Y1 0.875 0.816 0.086
In1 0.363 0.978 0.131
In2 0.863 0.478 0.369
In3 0.637 0.978 0.369
Y2 0.375 0.316 0.414
In4 0.000 0.850 0.750
In5 0.137 0.478 0.131
In6 0.500 0.350 0.750
In7 0.637 0.022 0.869
Y3 0.125 0.184 0.914
In8 0.863 0.522 0.869
In9 0.000 0.150 0.250
In10 0.137 0.522 0.631
Y4 0.625 0.316 0.086
Y5 0.625 0.684 0.586
In11 0.500 0.650 0.250
In12 0.363 0.022 0.631
Y6 0.125 0.816 0.414
Y7 0.375 0.684 0.914
Y8 0.875 0.184 0.586

Its mass density is 6532 kg/m3. For the relative energy among the computed polymorphs, the calculation gives 0.063 eV per atom.

---

Number 1: E -4.5224 eV per atom. Number 2: E -8.5631 eV per atom. Number 3: E -2.5136 eV per atom. Number 4: E -2.5409 eV per atom. Number 5: E -6.3706 eV per atom. Number 6: E -4.6391 eV per atom.